Record 1
The following is a DFT calculation (meta-GGA SCAN) of a crystal of InSbAu2 relaxed with PBEsol.

Cell and atoms, written as POSCAR:
```
InSbAu2
1.0
4.0430 0.0000 0.0000
0.0000 3.9042 0.0000
-1.4690 0.0000 5.3886
In Sb Au
1 1 2
Direct
0.0000 0.0000 0.0000
0.3573 0.5000 0.5801
0.5258 0.5000 0.0991
0.8286 0.0000 0.4787
```

Results
E above lowest polymorph: 0.0196 eV per atom
Mass density: 12.3 g/cm3
Raw total energy: -52.431 eV per atom
Raw formation energy: -191 meV/atom
SG: Pm, No. 6
Density of states at the Fermi level: 0.38 states/eV per atom

=====

Record 2
The following is a DFT calculation (meta-GGA SCAN) of a crystal of InSbAu4 relaxed with PBEsol.

Cell and atoms, written as POSCAR:
```
InSbAu4
1.0
0.0000 3.9040 3.9040
3.9040 0.0000 3.9040
3.9040 3.9040 0.0000
In Sb Au
1 1 4
Direct
0.0000 0.0000 0.0000
0.2500 0.2500 0.2500
0.1250 0.6250 0.6250
0.6250 0.1250 0.6250
0.6250 0.6250 0.1250
0.6250 0.6250 0.6250
```

Results
Mass density: 14.3 g/cm3
Raw total energy: -57.865 eV per atom
Raw formation energy: 14 meV/atom
SG: F-43m, No. 216
Density of states at the Fermi level: 0.27 states/eV per atom

=====

Record 3
The following is a DFT calculation (meta-GGA SCAN) of a crystal of Sc2InSbAu relaxed with PBEsol.

Cell and atoms, written as POSCAR:
```
Sc2InSbAu
1.0
5.1403 0.0000 0.0000
0.0000 5.1403 0.0000
0.0000 0.0000 5.2072
Sc In Sb Au
2 1 1 1
Direct
0.0000 0.5000 0.0000
0.5000 0.0000 0.0000
0.0000 0.0000 0.5000
0.5000 0.5000 0.5000
0.5000 0.5000 0.0000
```

Results
Mass density: 6.3 g/cm3
Raw total energy: -33.728 eV per atom
Raw formation energy: -73 meV/atom
SG: P4/mmm, No. 123
Density of states at the Fermi level: 0.78 states/eV per atom

=====

Record 4
The following is a DFT calculation (meta-GGA SCAN) of a crystal of ZnInSb2Au relaxed with PBEsol.

Cell and atoms, written as POSCAR:
```
ZnInSb2Au
1.0
5.3986 0.0000 0.0000
0.0000 5.3986 0.0000
0.0000 0.0000 4.7298
Zn In Sb Au
1 1 2 1
Direct
0.0000 0.0000 0.0000
0.5000 0.5000 0.0000
0.0000 0.5000 0.5000
0.5000 0.0000 0.5000
0.0000 0.0000 0.5000
```

Results
Mass density: 7.5 g/cm3
Raw total energy: -37.823 eV per atom
Raw formation energy: 293 meV/atom
SG: P4/mmm, No. 123
Density of states at the Fermi level: 0.62 states/eV per atom

=====

Record 5
The following is a DFT calculation (meta-GGA SCAN) of a crystal of Sc2InAu relaxed with PBEsol.

Cell and atoms, written as POSCAR:
```
Sc2InAu
1.0
-2.0731 2.0731 4.6553
2.0731 -2.0731 4.6553
2.0731 2.0731 -4.6553
Sc In Au
2 1 1
Direct
0.0000 0.0000 0.0000
0.7500 0.2500 0.5000
0.2500 0.7500 0.5000
0.5000 0.5000 0.0000
```

Results
Mass density: 8.3 g/cm3
Raw total energy: -33.379 eV per atom
ΔE_f: -60.3 kJ per mole of atoms
SG: I-4m2, No. 119
Density of states at the Fermi level: 0.96 states/eV per atom

=====

Record 6
The following is a DFT calculation (meta-GGA SCAN) of a crystal of Sc2InAu relaxed with PBEsol.

Cell and atoms, written as POSCAR:
```
Sc2InAu
1.0
3.3300 0.0000 0.0000
0.0000 3.3300 0.0000
0.0000 0.0000 7.3117
Sc In Au
2 1 1
Direct
0.0000 0.0000 0.2305
0.0000 0.0000 0.7695
0.5000 0.5000 0.5000
0.5000 0.5000 0.0000
```

Results
Mass density: 8.2 g/cm3
Raw total energy: -33.588 eV per atom
ΔE_f: -80.4 kJ per mole of atoms
SG: P4/mmm, No. 123
Density of states at the Fermi level: 0.69 states/eV per atom

=====

Record 7
The following is a DFT calculation (meta-GGA SCAN) of a crystal of ScInAu relaxed with PBEsol.

Cell and atoms, written as POSCAR:
```
ScInAu
1.0
3.4299 0.0000 0.0000
-1.7149 2.9703 0.0000
0.0000 0.0000 6.3682
Sc In Au
1 1 1
Direct
0.0000 0.0000 0.0000
0.3333 0.6667 0.3760
0.6667 0.3333 0.7084
```

Results
Mass density: 9.1 g/cm3
Raw total energy: -39.442 eV per atom
ΔE_f: -49.7 kJ per mole of atoms
SG: P3m1, No. 156
Density of states at the Fermi level: 0.50 states/eV per atom

=====

Record 8
The following is a DFT calculation (meta-GGA SCAN) of a crystal of Sc4InAu relaxed with PBEsol.

Cell and atoms, written as POSCAR:
```
Sc4InAu
1.0
0.0000 3.9895 3.9895
3.9895 0.0000 3.9895
3.9895 3.9895 0.0000
Sc In Au
4 1 1
Direct
0.1253 0.1253 0.1253
0.1253 0.1253 0.6241
0.1253 0.6241 0.1253
0.6241 0.1253 0.1253
0.5000 0.5000 0.5000
0.7500 0.7500 0.7500
```

Results
Mass density: 6.4 g/cm3
Raw total energy: -26.526 eV per atom
ΔE_f: 5.4 kJ per mole of atoms
SG: F-43m, No. 216
Density of states at the Fermi level: 0.79 states/eV per atom

=====

Record 9
The following is a DFT calculation (meta-GGA SCAN) of a crystal of ScInAu3 relaxed with PBEsol.

Cell and atoms, written as POSCAR:
```
ScInAu3
1.0
5.0726 0.0000 0.0000
0.0000 5.0726 0.0000
0.0000 0.0000 5.0726
Sc In Au
1 1 3
Direct
0.0000 0.0000 0.0000
0.5000 0.5000 0.5000
0.0000 0.0000 0.5000
0.0000 0.5000 0.0000
0.5000 0.0000 0.0000
```

Results
Mass density: 9.5 g/cm3
Raw total energy: -50.845 eV per atom
ΔE_f: 16.8 kJ per mole of atoms
SG: Pm-3m, No. 221
Density of states at the Fermi level: 0.35 states/eV per atom

=====

Record 10
The following is a DFT calculation (meta-GGA SCAN) of a crystal of Sc2InAu relaxed with PBEsol.

Cell and atoms, written as POSCAR:
```
Sc2InAu
1.0
-1.6940 2.3757 5.1090
1.6940 -2.3757 5.1090
1.6940 2.3757 -5.1090
Sc In Au
2 1 1
Direct
0.0000 0.0000 0.0000
0.7235 0.2235 0.5000
0.4490 0.4490 0.0000
0.2239 0.7239 0.5000
```

Results
Mass density: 8.1 g/cm3
Raw total energy: -33.450 eV per atom
ΔE_f: -67.1 kJ per mole of atoms
SG: Imm2, No. 44
Density of states at the Fermi level: 1.06 states/eV per atom

=====

Record 11
The following is a DFT calculation (meta-GGA SCAN) of a crystal of Sc2InAu relaxed with PBEsol.

Cell and atoms, written as POSCAR:
```
Sc2InAu
1.0
3.4194 0.0000 0.0000
0.0000 4.7935 0.0000
0.0000 0.0000 4.9081
Sc In Au
2 1 1
Direct
0.0000 0.0000 0.0000
0.0000 0.5000 0.4441
0.5000 0.5000 0.9357
0.5000 0.0000 0.5235
```

Results
Mass density: 8.3 g/cm3
Raw total energy: -33.553 eV per atom
ΔE_f: -77.0 kJ per mole of atoms
SG: Pmm2, No. 25
Density of states at the Fermi level: 0.62 states/eV per atom

=====

Record 12
The following is a DFT calculation (meta-GGA SCAN) of a crystal of InAuSe2 relaxed with PBEsol.

Cell and atoms, written as POSCAR:
```
InAuSe2
1.0
-1.8220 1.8677 6.6162
1.8220 -1.8677 6.6162
1.8220 1.8677 -6.6162
In Au Se
1 1 2
Direct
0.0000 0.0000 0.0000
0.7056 0.2056 0.5000
0.1832 0.6832 0.5000
0.4237 0.4237 0.0000
```

Results
Mass density: 8.7 g/cm3
Raw total energy: -35.798 eV per atom
Raw formation energy: -123 meV/atom
SG: Imm2, No. 44
Density of states at the Fermi level: 0.16 states/eV per atom